Computed, not measured: a relaxed Th3Si4Rh2 crystal at the PBE level of DFT.

Cell: 5.9023 5.9023 8.2434 Å, 101.08 101.08 41.72°
Positions (direct):
Th (0.0000, 0.0000, 0.0000)
Th (0.3337, 0.3337, 0.3385)
Th (0.6663, 0.6663, 0.6615)
Si (0.0522, 0.0522, 0.3864)
Si (0.2743, 0.2743, 0.9358)
Si (0.7257, 0.7257, 0.0642)
Si (0.9478, 0.9478, 0.6136)
Rh (0.3956, 0.3956, 0.7247)
Rh (0.6044, 0.6044, 0.2753)

Summary:
* relative energy among the computed polymorphs: 0.000 eV/atom

---

Computed, not measured: a relaxed Ca2MnSb crystal at the PBE level of DFT.

Cell: 7.8987 7.8987 7.8987 Å, 95.66 95.66 143.39°
Positions (direct):
Ca (0.3750, 0.2066, 0.3316)
Ca (0.7934, 0.1250, 0.1684)
Ca (0.8750, 0.0434, 0.6684)
Ca (0.9566, 0.6250, 0.8316)
Mn (0.0000, 0.0000, 0.0000)
Mn (0.7500, 0.2500, 0.5000)
Sb (0.2500, 0.7500, 0.5000)
Sb (0.5000, 0.5000, 0.0000)

---

Number 1: ΔE_f (raw) -8.7 eV/f.u., spin magnetization 0.0 Bohr magnetons per cell. Number 2: ΔE_f (raw) 0.5 eV/f.u., spin magnetization 4.0 Bohr magnetons per cell.